! HoZrNi2 (PBE-GGA, relaxed); values from VASP
&SYSTEM
  ibrav = 0, nat = 4, ntyp = 3
/
ATOMIC_SPECIES
Ni 58.69 Ni.upf
Ho 164.93 Ho.upf
Zr 91.22 Zr.upf
CELL_PARAMETERS angstrom
-3.234 0.455 -0.381
-0.531 -3.163 0.724
-0.538 1.562 6.434
ATOMIC_POSITIONS crystal
Ni 0.000 0.000 0.785
Ho 0.500 0.500 0.500
Ni 0.000 0.000 0.215
Zr 0.500 0.500 0.000
! ΔH_f (0 K): -0.39 eV/atom
! Crystal system: tetragonal
! Raw total energy: -6.561 eV/atom
! ρ: 8640 kg/m3
! D(E_F): 4.43 states/eV/f.u.
! Magnetic moment: 0.000 Bohr magnetons per cell


! Ho2ZrNi9 (PBE-GGA, relaxed); values from VASP
&SYSTEM
  ibrav = 0, nat = 12, ntyp = 3
/
ATOMIC_SPECIES
Ni 58.69 Ni.upf
Ho 164.93 Ho.upf
Zr 91.22 Zr.upf
CELL_PARAMETERS angstrom
-0.566 -4.315 2.218
3.882 -2.334 1.827
0.042 1.570 8.445
ATOMIC_POSITIONS crystal
Ni 0.418 0.418 0.244
Ni 0.919 0.418 0.244
Ni 0.500 0.500 0.500
Ni 0.081 0.582 0.756
Ni 0.667 0.667 0.000
Ni 0.333 0.333 0.000
Ho 0.138 0.138 0.587
Ho 0.862 0.862 0.413
Ni 0.582 0.081 0.756
Ni 0.418 0.919 0.244
Ni 0.582 0.582 0.756
Zr 0.000 0.000 0.000
! ΔH_f (0 K): -0.40 eV/atom
! Crystal system: trigonal
! Raw total energy: -6.207 eV/atom
! ρ: 9402 kg/m3
! D(E_F): 15.52 states/eV/f.u.
! Magnetic moment: 0.000 Bohr magnetons per cell


! HoZr2Ni (PBE-GGA, relaxed); values from VASP
&SYSTEM
  ibrav = 0, nat = 16, ntyp = 3
/
ATOMIC_SPECIES
Ni 58.69 Ni.upf
Ho 164.93 Ho.upf
Zr 91.22 Zr.upf
CELL_PARAMETERS angstrom
5.794 0.000 0.000
0.000 6.276 0.000
0.000 0.000 9.615
ATOMIC_POSITIONS crystal
Ni 0.612 0.106 0.750
Ni 0.112 0.394 0.250
Ni 0.888 0.606 0.750
Ho 0.355 0.473 0.750
Zr 0.165 0.682 0.446
Zr 0.835 0.318 0.554
Zr 0.665 0.818 0.554
Zr 0.335 0.182 0.054
Ho 0.145 0.973 0.750
Ni 0.388 0.894 0.250
Zr 0.335 0.182 0.446
Ho 0.645 0.527 0.250
Zr 0.835 0.318 0.946
Zr 0.665 0.818 0.946
Ho 0.855 0.027 0.250
Zr 0.165 0.682 0.054
! ΔH_f (0 K): -0.18 eV/atom
! Crystal system: orthorhombic
! Raw total energy: -7.044 eV/atom
! ρ: 7714 kg/m3
! D(E_F): 5.91 states/eV/f.u.
! Magnetic moment: 0.000 Bohr magnetons per cell
! Energy above the most stable polymorph in this dataset: 0 meV per atom


! HoZrNi2 (PBE-GGA, relaxed); values from VASP
&SYSTEM
  ibrav = 0, nat = 4, ntyp = 3
/
ATOMIC_SPECIES
Zr 91.22 Zr.upf
Ni 58.69 Ni.upf
Ho 164.93 Ho.upf
CELL_PARAMETERS angstrom
-0.370 3.317 -0.941
-3.612 0.228 2.223
2.725 -0.231 4.450
ATOMIC_POSITIONS crystal
Zr 0.719 0.000 0.976
Ni 0.008 0.000 0.555
Ho 0.440 0.500 0.419
Ni 0.164 0.500 0.867
! ΔH_f (0 K): -0.43 eV/atom
! Crystal system: monoclinic
! Raw total energy: -6.600 eV/atom
! ρ: 8541 kg/m3
! D(E_F): 2.44 states/eV/f.u.
! Magnetic moment: 0.000 Bohr magnetons per cell


! Ho2Zr2Ni15 (PBE-GGA, relaxed); values from VASP
&SYSTEM
  ibrav = 0, nat = 19, ntyp = 3
/
ATOMIC_SPECIES
Ni 58.69 Ni.upf
Ho 164.93 Ho.upf
Zr 91.22 Zr.upf
CELL_PARAMETERS angstrom
-2.124 1.207 5.939
-6.264 -0.868 -1.115
-0.419 -6.077 2.033
ATOMIC_POSITIONS crystal
Ni 0.000 0.500 0.000
Ni 0.652 0.652 0.162
Ni 0.304 0.696 0.000
Ho 0.357 0.357 0.357
Zr 0.109 0.109 0.109
Ni 0.500 0.000 0.000
Ni 0.000 0.696 0.304
Zr 0.891 0.891 0.891
Ni 0.000 0.304 0.696
Ni 0.348 0.838 0.348
Ni 0.838 0.348 0.348
Ni 0.652 0.162 0.652
Ho 0.643 0.643 0.643
Ni 0.162 0.652 0.652
Ni 0.000 0.000 0.500
Ni 0.304 0.000 0.696
Ni 0.696 0.304 0.000
Ni 0.696 0.000 0.304
Ni 0.348 0.348 0.838
! ΔH_f (0 K): -0.28 eV/atom
! Crystal system: trigonal
! Raw total energy: -6.228 eV/atom
! ρ: 8965 kg/m3
! D(E_F): 29.42 states/eV/f.u.
! Magnetic moment: 1.232 Bohr magnetons per cell


! HoZr2Ni (PBE-GGA, relaxed); values from VASP
&SYSTEM
  ibrav = 0, nat = 4, ntyp = 3
/
ATOMIC_SPECIES
Ho 164.93 Ho.upf
Zr 91.22 Zr.upf
Ni 58.69 Ni.upf
CELL_PARAMETERS angstrom
-1.156 -3.028 0.617
1.673 -1.168 -2.593
6.147 -1.410 4.600
ATOMIC_POSITIONS crystal
Ho 0.500 0.500 0.500
Zr 0.000 0.000 0.801
Zr 0.000 0.000 0.199
Ni 0.500 0.500 0.000
! ΔH_f (0 K): -0.08 eV/atom
! Crystal system: tetragonal
! Raw total energy: -6.942 eV/atom
! ρ: 7936 kg/m3
! D(E_F): 6.81 states/eV/f.u.
! Magnetic moment: 0.000 Bohr magnetons per cell
! Energy above the most stable polymorph in this dataset: 102 meV per atom


! Ho12ZrNi6 (PBE-GGA, relaxed); values from VASP
&SYSTEM
  ibrav = 0, nat = 19, ntyp = 3
/
ATOMIC_SPECIES
Ho 164.93 Ho.upf
Ni 58.69 Ni.upf
Zr 91.22 Zr.upf
CELL_PARAMETERS angstrom
7.915 0.000 -2.798
-3.957 6.854 -2.798
0.000 0.000 8.395
ATOMIC_POSITIONS crystal
Ho 0.488 0.184 0.304
Ho 0.304 0.488 0.184
Ho 0.184 0.304 0.488
Ho 0.304 0.121 0.816
Ni 0.624 0.500 0.124
Ho 0.816 0.304 0.121
Ho 0.879 0.184 0.696
Ni 0.376 0.500 0.876
Ho 0.816 0.696 0.512
Ni 0.500 0.124 0.624
Ho 0.184 0.696 0.879
Ho 0.696 0.512 0.816
Ho 0.512 0.816 0.696
Zr 0.000 0.000 0.000
Ho 0.696 0.879 0.184
Ni 0.124 0.624 0.500
Ni 0.500 0.876 0.376
Ni 0.876 0.376 0.500
Ho 0.121 0.816 0.304
! ΔH_f (0 K): -0.23 eV/atom
! Crystal system: cubic
! Raw total energy: -5.401 eV/atom
! ρ: 8834 kg/m3
! D(E_F): 25.96 states/eV/f.u.
! Magnetic moment: 4.174 Bohr magnetons per cell


! HoZrNi (PBE-GGA, relaxed); values from VASP
&SYSTEM
  ibrav = 0, nat = 3, ntyp = 3
/
ATOMIC_SPECIES
Zr 91.22 Zr.upf
Ho 164.93 Ho.upf
Ni 58.69 Ni.upf
CELL_PARAMETERS angstrom
3.329 0.000 0.000
0.000 3.329 0.000
-1.665 -1.665 5.644
ATOMIC_POSITIONS crystal
Zr 0.303 0.303 0.606
Ho 0.015 0.015 0.030
Ni 0.682 0.682 0.364
! ΔH_f (0 K): -0.18 eV/atom
! Crystal system: tetragonal
! Raw total energy: -6.480 eV/atom
! ρ: 8356 kg/m3
! D(E_F): 4.12 states/eV/f.u.
! Magnetic moment: 0.503 Bohr magnetons per cell
! Energy above the most stable polymorph in this dataset: 50 meV per atom


! HoZrNi (PBE-GGA, relaxed); values from VASP
&SYSTEM
  ibrav = 0, nat = 6, ntyp = 3
/
ATOMIC_SPECIES
Ni 58.69 Ni.upf
Ho 164.93 Ho.upf
Zr 91.22 Zr.upf
CELL_PARAMETERS angstrom
-1.251 -3.380 4.037
4.898 -0.667 -2.201
-0.020 5.055 2.179
ATOMIC_POSITIONS crystal
Ni 0.250 0.750 0.500
Ho 0.326 0.674 0.000
Zr 0.174 0.174 0.348
Ho 0.674 0.326 0.000
Ni 0.750 0.250 0.500
Zr 0.826 0.826 0.652
! ΔH_f (0 K): -0.23 eV/atom
! Crystal system: orthorhombic
! Raw total energy: -6.530 eV/atom
! ρ: 8449 kg/m3
! D(E_F): 4.03 states/eV/f.u.
! Magnetic moment: 0.001 Bohr magnetons per cell
! Energy above the most stable polymorph in this dataset: 0 meV per atom


! HoZrNi10 (PBE-GGA, relaxed); values from VASP
&SYSTEM
  ibrav = 0, nat = 12, ntyp = 3
/
ATOMIC_SPECIES
Ni 58.69 Ni.upf
Zr 91.22 Zr.upf
Ho 164.93 Ho.upf
CELL_PARAMETERS angstrom
3.961 0.000 0.000
0.000 4.806 0.000
0.000 0.000 8.323
ATOMIC_POSITIONS crystal
Ni 0.000 0.000 0.661
Ni 0.500 0.000 0.500
Zr 0.000 0.500 0.500
Ni 0.500 0.253 0.745
Ni 0.000 0.500 0.173
Ni 0.500 0.747 0.255
Ni 0.000 0.500 0.827
Ni 0.000 0.000 0.339
Ho 0.000 0.000 0.000
Ni 0.500 0.253 0.255
Ni 0.500 0.500 0.000
Ni 0.500 0.747 0.745
! ΔH_f (0 K): -0.31 eV/atom
! Crystal system: orthorhombic
! Raw total energy: -6.222 eV/atom
! ρ: 8836 kg/m3
! D(E_F): 13.13 states/eV/f.u.
! Magnetic moment: 2.556 Bohr magnetons per cell


! Ho2ZrNi9 (PBE-GGA, relaxed); values from VASP
&SYSTEM
  ibrav = 0, nat = 24, ntyp = 3
/
ATOMIC_SPECIES
Zr 91.22 Zr.upf
Ni 58.69 Ni.upf
Ho 164.93 Ho.upf
CELL_PARAMETERS angstrom
4.886 0.000 0.000
-2.443 4.231 0.000
0.000 0.000 16.216
ATOMIC_POSITIONS crystal
Zr 0.667 0.333 0.250
Ni 0.000 0.000 0.000
Zr 0.333 0.667 0.750
Ni 0.167 0.833 0.372
Ni 0.667 0.333 0.750
Ho 0.333 0.667 0.956
Ni 0.666 0.833 0.128
Ni 0.167 0.334 0.128
Ni 0.167 0.833 0.128
Ho 0.333 0.667 0.544
Ni 0.833 0.167 0.628
Ni 0.167 0.334 0.372
Ni 0.000 0.000 0.500
Ho 0.667 0.333 0.044
Ni 0.833 0.167 0.872
Ni 0.666 0.833 0.372
Ni 0.833 0.666 0.628
Ho 0.667 0.333 0.456
Ni 0.334 0.167 0.872
Ni 0.000 0.000 0.750
Ni 0.333 0.667 0.250
Ni 0.833 0.666 0.872
Ni 0.000 0.000 0.250
Ni 0.334 0.167 0.628
! ΔH_f (0 K): -0.40 eV/atom
! Crystal system: hexagonal
! Raw total energy: -6.208 eV/atom
! ρ: 9404 kg/m3
! D(E_F): 11.70 states/eV/f.u.
! Magnetic moment: 0.000 Bohr magnetons per cell


! HoZr2Ni (PBE-GGA, relaxed); values from VASP
&SYSTEM
  ibrav = 0, nat = 4, ntyp = 3
/
ATOMIC_SPECIES
Ho 164.93 Ho.upf
Ni 58.69 Ni.upf
Zr 91.22 Zr.upf
CELL_PARAMETERS angstrom
4.008 0.000 0.000
2.004 3.471 0.000
2.004 1.157 6.847
ATOMIC_POSITIONS crystal
Ho 0.499 0.499 0.503
Ni 0.668 0.668 0.996
Zr 0.054 0.054 0.839
Zr 0.279 0.279 0.163
! ΔH_f (0 K): 0.09 eV/atom
! Crystal system: trigonal
! Raw total energy: -6.770 eV/atom
! ρ: 7079 kg/m3
! D(E_F): 4.67 states/eV/f.u.
! Magnetic moment: 0.000 Bohr magnetons per cell
! Energy above the most stable polymorph in this dataset: 274 meV per atom


! Ho2ZrNi2 (PBE-GGA, relaxed); values from VASP
&SYSTEM
  ibrav = 0, nat = 10, ntyp = 3
/
ATOMIC_SPECIES
Ni 58.69 Ni.upf
Ho 164.93 Ho.upf
Zr 91.22 Zr.upf
CELL_PARAMETERS angstrom
5.833 0.000 0.000
-2.916 5.280 -0.759
0.000 -0.282 6.896
ATOMIC_POSITIONS crystal
Ni 0.004 0.701 0.996
Ni 0.996 0.299 0.004
Ho 0.460 0.701 0.851
Ni 0.697 0.701 0.496
Ni 0.303 0.299 0.504
Ho 0.241 0.701 0.351
Zr 0.087 0.000 0.750
Zr 0.913 0.000 0.250
Ho 0.759 0.299 0.649
Ho 0.540 0.299 0.149
! ΔH_f (0 K): -0.34 eV/atom
! Crystal system: monoclinic
! Raw total energy: -6.191 eV/atom
! ρ: 8470 kg/m3
! D(E_F): 4.64 states/eV/f.u.
! Magnetic moment: 0.000 Bohr magnetons per cell


! Ho4Np (PBE-GGA, relaxed); values from VASP
&SYSTEM
  ibrav = 0, nat = 5, ntyp = 2
/
ATOMIC_SPECIES
Ho 164.93 Ho.upf
Np 237.00 Np.upf
CELL_PARAMETERS angstrom
5.506 0.000 0.000
0.000 5.506 0.000
0.000 0.000 5.506
ATOMIC_POSITIONS crystal
Ho 0.000 0.000 0.000
Np 0.500 0.500 0.500
Ho 0.000 0.500 0.500
Ho 0.500 0.000 0.500
Ho 0.500 0.500 0.000
! ΔH_f (0 K): 0.74 eV/atom
! Crystal system: cubic
! Raw total energy: -5.511 eV/atom
! ρ: 8920 kg/m3
! D(E_F): 7.98 states/eV/f.u.
! Magnetic moment: 6.515 Bohr magnetons per cell


! HoNp3 (PBE-GGA, relaxed); values from VASP
&SYSTEM
  ibrav = 0, nat = 4, ntyp = 2
/
ATOMIC_SPECIES
Np 237.00 Np.upf
Ho 164.93 Ho.upf
CELL_PARAMETERS angstrom
-0.670 2.419 3.879
-4.571 -0.413 -0.532
0.068 -3.914 2.453
ATOMIC_POSITIONS crystal
Np 0.500 0.500 0.000
Ho 0.000 0.000 0.000
Np 0.500 0.000 0.500
Np 0.000 0.500 0.500
! ΔH_f (0 K): 0.71 eV/atom
! Crystal system: cubic
! Raw total energy: -10.137 eV/atom
! ρ: 14749 kg/m3
! D(E_F): 16.36 states/eV/f.u.
! Magnetic moment: 12.040 Bohr magnetons per cell
! Energy above the most stable polymorph in this dataset: 2 meV per atom


! HoNp3 (PBE-GGA, relaxed); values from VASP
&SYSTEM
  ibrav = 0, nat = 4, ntyp = 2
/
ATOMIC_SPECIES
Np 237.00 Np.upf
Ho 164.93 Ho.upf
CELL_PARAMETERS angstrom
-5.111 1.295 1.820
-1.029 -2.728 4.755
4.291 3.179 -1.611
ATOMIC_POSITIONS crystal
Np 0.250 0.750 0.500
Np 0.500 0.500 0.000
Ho 0.000 0.000 0.000
Np 0.750 0.250 0.500
! ΔH_f (0 K): 0.71 eV/atom
! Crystal system: tetragonal
! Raw total energy: -10.139 eV/atom
! ρ: 15402 kg/m3
! D(E_F): 15.07 states/eV/f.u.
! Magnetic moment: 10.744 Bohr magnetons per cell
! Energy above the most stable polymorph in this dataset: 0 meV per atom


! HoNp2 (PBE-GGA, relaxed); values from VASP
&SYSTEM
  ibrav = 0, nat = 6, ntyp = 2
/
ATOMIC_SPECIES
Np 237.00 Np.upf
Ho 164.93 Ho.upf
CELL_PARAMETERS angstrom
-5.725 0.387 0.778
-2.811 -4.137 2.918
-2.137 1.114 5.265
ATOMIC_POSITIONS crystal
Np 0.625 0.125 0.625
Ho 0.000 0.000 0.000
Np 0.625 0.625 0.125
Ho 0.250 0.250 0.250
Np 0.625 0.625 0.625
Np 0.125 0.625 0.625
! ΔH_f (0 K): 0.42 eV/atom
! Crystal system: cubic
! Raw total energy: -9.732 eV/atom
! ρ: 15457 kg/m3
! D(E_F): 7.83 states/eV/f.u.
! Magnetic moment: 11.907 Bohr magnetons per cell


! HoNp2O8 (PBE-GGA, relaxed); values from VASP
&SYSTEM
  ibrav = 0, nat = 11, ntyp = 3
/
ATOMIC_SPECIES
O 16.00 O.upf
Ho 164.93 Ho.upf
Np 237.00 Np.upf
CELL_PARAMETERS angstrom
-0.139 -4.232 -0.172
5.038 -0.353 4.633
-6.537 0.132 2.047
ATOMIC_POSITIONS crystal
O 0.755 0.333 0.667
O 0.750 0.339 0.170
Ho 0.000 0.000 0.000
O 0.750 0.830 0.169
O 0.250 0.169 0.339
O 0.250 0.661 0.830
O 0.750 0.831 0.661
Np 0.252 0.333 0.667
O 0.245 0.667 0.333
O 0.250 0.170 0.831
Np 0.748 0.667 0.333
! Crystal system: trigonal
! Raw total energy: -8.915 eV/atom
! ρ: 7392 kg/m3
! D(E_F): 7.64 states/eV/f.u.
! Magnetic moment: 1.021 Bohr magnetons per cell
! Raw formation energy: -27.94 eV/f.u.


! Ho2NpO6 (PBE-GGA, relaxed); values from VASP
&SYSTEM
  ibrav = 0, nat = 18, ntyp = 3
/
ATOMIC_SPECIES
O 16.00 O.upf
Ho 164.93 Ho.upf
Np 237.00 Np.upf
CELL_PARAMETERS angstrom
5.070 0.000 0.000
0.000 5.070 0.000
0.000 0.000 10.349
ATOMIC_POSITIONS crystal
O 0.314 0.314 0.655
O 0.686 0.686 0.655
O 0.686 0.686 0.345
Ho 0.000 0.000 0.666
Ho 0.500 0.500 0.834
Np 0.500 0.500 0.500
O 0.186 0.814 0.845
O 0.291 0.291 0.000
Ho 0.000 0.000 0.334
O 0.791 0.209 0.500
O 0.186 0.814 0.155
O 0.814 0.186 0.845
O 0.814 0.186 0.155
O 0.709 0.709 0.000
Np 0.000 0.000 0.000
O 0.314 0.314 0.345
O 0.209 0.791 0.500
Ho 0.500 0.500 0.166
! Crystal system: tetragonal
! Raw total energy: -9.047 eV/atom
! ρ: 8276 kg/m3
! Magnetic moment: 2.000 Bohr magnetons per cell
! Raw formation energy: -29.58 eV/f.u.


! Ho4NpO10 (PBE-GGA, relaxed); values from VASP
&SYSTEM
  ibrav = 0, nat = 15, ntyp = 3
/
ATOMIC_SPECIES
Ho 164.93 Ho.upf
O 16.00 O.upf
Np 237.00 Np.upf
CELL_PARAMETERS angstrom
-1.525 -1.154 4.926
4.890 -0.030 4.341
-1.683 5.234 3.540
ATOMIC_POSITIONS crystal
Ho 0.199 0.400 0.203
O 0.250 0.500 0.500
O 0.860 0.715 0.090
O 0.950 0.910 0.715
Ho 0.801 0.600 0.797
Ho 0.599 0.203 0.600
O 0.140 0.285 0.910
Np 0.000 0.000 0.000
O 0.424 0.910 0.715
O 0.334 0.715 0.090
O 0.666 0.285 0.910
O 0.576 0.090 0.285
O 0.050 0.090 0.285
Ho 0.401 0.797 0.400
O 0.750 0.500 0.500
! Crystal system: tetragonal
! Raw total energy: -8.531 eV/atom
! ρ: 9280 kg/m3
! D(E_F): 7.48 states/eV/f.u.
! Magnetic moment: 0.518 Bohr magnetons per cell
! Raw formation energy: -47.13 eV/f.u.